# SrLi2Zn2, PBEsol geometry, DFT SCAN
# M_tot in μB/atom: 0.000
# Uncorrected energy in eV per atom: -10.967
# Formation energy from the elements in eV per atom: -0.150
data_SrLi2Zn2
_chemical_formula_sum 'Sr2 Li4 Zn4'
_cell_length_a 4.294
_cell_length_b 4.294
_cell_length_c 12.179
_cell_angle_alpha 90.00
_cell_angle_beta 90.00
_cell_angle_gamma 90.00
_symmetry_space_group_name_H-M 'I 4/m m m'
_symmetry_Int_Tables_number 139
_symmetry_space_group_name_Hall '-I 4 2'
loop_
_atom_site_label
_atom_site_fract_x
_atom_site_fract_y
_atom_site_fract_z
Sr1 0.000 0.000 0.000
Li1 0.000 0.500 0.250
Zn1 0.000 0.000 0.395

# SrLiZn2, PBEsol geometry, DFT SCAN
# M_tot in μB/atom: 0.000
# Uncorrected energy in eV per atom: -13.062
# Formation energy from the elements in eV per atom: -0.138
# E above lowest polymorph in meV/atom: 104
data_SrLiZn2
_chemical_formula_sum 'Sr1 Li1 Zn2'
_cell_length_a 3.779
_cell_length_b 4.325
_cell_length_c 6.171
_cell_angle_alpha 90.00
_cell_angle_beta 107.71
_cell_angle_gamma 90.00
_symmetry_space_group_name_H-M 'P 1 m 1'
_symmetry_Int_Tables_number 6
_symmetry_space_group_name_Hall 'P -2y'
loop_
_atom_site_label
_atom_site_fract_x
_atom_site_fract_y
_atom_site_fract_z
Sr1 0.000 0.000 0.000
Li1 0.292 0.500 0.587
Zn1 0.625 0.500 0.251
Zn2 0.726 0.000 0.456

# SrLiZn4, PBEsol geometry, DFT SCAN
# M_tot in μB/atom: 0.000
# Uncorrected energy in eV per atom: -13.327
# Formation energy from the elements in eV per atom: -0.206
data_SrLiZn4
_chemical_formula_sum 'Sr4 Li4 Zn16'
_cell_length_a 7.630
_cell_length_b 7.630
_cell_length_c 7.630
_cell_angle_alpha 90.00
_cell_angle_beta 90.00
_cell_angle_gamma 90.00
_symmetry_space_group_name_H-M 'F -4 3 m'
_symmetry_Int_Tables_number 216
_symmetry_space_group_name_Hall 'F -4 2 3'
loop_
_atom_site_label
_atom_site_fract_x
_atom_site_fract_y
_atom_site_fract_z
Sr1 0.000 0.000 0.000
Li1 0.250 0.250 0.250
Zn1 0.123 0.123 0.623

# SrLi2Zn, PBEsol geometry, DFT SCAN
# M_tot in μB/atom: 0.000
# Uncorrected energy in eV per atom: -10.197
# Formation energy from the elements in eV per atom: -0.055
data_SrLi2Zn
_chemical_formula_sum 'Sr2 Li4 Zn2'
_cell_length_a 8.336
_cell_length_b 4.362
_cell_length_c 5.881
_cell_angle_alpha 90.00
_cell_angle_beta 112.28
_cell_angle_gamma 90.00
_symmetry_space_group_name_H-M 'C 1 2/m 1'
_symmetry_Int_Tables_number 12
_symmetry_space_group_name_Hall '-C 2y'
loop_
_atom_site_label
_atom_site_fract_x
_atom_site_fract_y
_atom_site_fract_z
Sr1 0.000 0.000 0.000
Li1 0.201 0.000 0.608
Zn1 0.000 0.500 0.500

# SrLiZn2, PBEsol geometry, DFT SCAN
# M_tot in μB/atom: 0.000
# Uncorrected energy in eV per atom: -13.030
# Formation energy from the elements in eV per atom: -0.106
# E above lowest polymorph in meV/atom: 136
data_SrLiZn2
_chemical_formula_sum 'Sr2 Li2 Zn4'
_cell_length_a 4.107
_cell_length_b 5.333
_cell_length_c 8.212
_cell_angle_alpha 90.00
_cell_angle_beta 90.00
_cell_angle_gamma 90.00
_symmetry_space_group_name_H-M 'I m m 2'
_symmetry_Int_Tables_number 44
_symmetry_space_group_name_Hall 'I 2 -2'
loop_
_atom_site_label
_atom_site_fract_x
_atom_site_fract_y
_atom_site_fract_z
Sr1 0.000 0.000 0.000
Li1 0.000 0.500 0.804
Zn1 0.000 0.000 0.533
Zn2 0.000 0.500 0.207

# SrLiZn2, PBEsol geometry, DFT SCAN
# M_tot in μB/atom: 0.000
# Uncorrected energy in eV per atom: -12.893
# Formation energy from the elements in eV per atom: 0.031
# E above lowest polymorph in meV/atom: 273
data_SrLiZn2
_chemical_formula_sum 'Sr1 Li1 Zn2'
_cell_length_a 4.803
_cell_length_b 4.803
_cell_length_c 4.122
_cell_angle_alpha 90.00
_cell_angle_beta 90.00
_cell_angle_gamma 90.00
_symmetry_space_group_name_H-M 'P 4/m m m'
_symmetry_Int_Tables_number 123
_symmetry_space_group_name_Hall '-P 4 2'
loop_
_atom_site_label
_atom_site_fract_x
_atom_site_fract_y
_atom_site_fract_z
Sr1 0.000 0.000 0.000
Li1 0.500 0.500 0.000
Zn1 0.000 0.500 0.500

# SrLiZn2, PBEsol geometry, DFT SCAN
# M_tot in μB/atom: 0.000
# Uncorrected energy in eV per atom: -13.047
# Formation energy from the elements in eV per atom: -0.123
# E above lowest polymorph in meV/atom: 119
data_SrLiZn2
_chemical_formula_sum 'Sr1 Li1 Zn2'
_cell_length_a 3.560
_cell_length_b 3.560
_cell_length_c 6.854
_cell_angle_alpha 90.00
_cell_angle_beta 90.07
_cell_angle_gamma 90.00
_symmetry_space_group_name_H-M 'P 1 2/m 1'
_symmetry_Int_Tables_number 10
_symmetry_space_group_name_Hall '-P 2y'
loop_
_atom_site_label
_atom_site_fract_x
_atom_site_fract_y
_atom_site_fract_z
Sr1 0.000 0.000 0.000
Li1 0.000 0.000 0.500
Zn1 0.500 0.500 0.315

# SrLi2Zn, PBEsol geometry, DFT SCAN
# M_tot in μB/atom: 0.059
# Uncorrected energy in eV per atom: -10.025
# Formation energy from the elements in eV per atom: 0.117
data_SrLi2Zn
_chemical_formula_sum 'Sr2 Li4 Zn2'
_cell_length_a 6.233
_cell_length_b 10.876
_cell_length_c 3.636
_cell_angle_alpha 90.00
_cell_angle_beta 122.74
_cell_angle_gamma 90.00
_symmetry_space_group_name_H-M 'C 1 2/m 1'
_symmetry_Int_Tables_number 12
_symmetry_space_group_name_Hall '-C 2y'
loop_
_atom_site_label
_atom_site_fract_x
_atom_site_fract_y
_atom_site_fract_z
Sr1 0.000 0.000 0.000
Li1 0.250 0.250 0.500
Zn1 0.000 0.500 0.000

Q: What is the formation energy from the elements in the seventh record?
A: -0.123 eV per atom